Version a
Compound: K2TaAs2
Source: Alexandria
Functional: GGA-PBE
Structure: relaxed

Structure (POSCAR):
```
K2TaAs2
1.0
-6.513 0.897 2.184
0.746 -5.300 4.400
1.821 3.553 3.971
K Ta As
4 2 4
Direct
0.336 0.164 0.500
0.164 0.664 0.500
0.664 0.836 0.500
0.836 0.336 0.500
0.500 0.500 0.000
0.000 0.000 0.000
0.345 0.845 0.000
0.155 0.345 0.000
0.845 0.655 0.000
0.655 0.155 0.000
```

Results
Crystal system: tetragonal

Version b
Compound: K2TaAs2
Source: Alexandria
Functional: GGA-PBE
Structure: relaxed

Structure (POSCAR):
```
K2TaAs2
1.0
3.810 0.000 0.000
0.000 3.810 0.000
1.905 1.905 7.429
As K Ta
2 2 1
Direct
0.416 0.416 0.169
0.584 0.584 0.831
0.750 0.250 0.500
0.250 0.750 0.500
0.000 0.000 0.000
```

Results
Crystal system: tetragonal

Stability order, top to bottom: version a, version b

Version a
Compound: KTcAs
Source: Alexandria
Functional: GGA-PBE
Structure: relaxed

Structure (POSCAR):
```
KTcAs
1.0
-0.041 -3.109 -1.125
2.869 1.618 0.283
0.710 -2.432 6.695
As Tc K
1 1 1
Direct
0.000 0.000 0.945
0.333 0.667 0.733
0.667 0.333 0.323
```

Results
Crystal system: trigonal

Version b
Compound: KTcAs
Source: Alexandria
Functional: GGA-PBE
Structure: relaxed

Structure (POSCAR):
```
KTcAs
1.0
4.518 0.000 0.000
2.259 3.913 0.000
2.259 1.304 3.689
As K Tc
1 1 1
Direct
0.000 0.000 0.000
0.500 0.500 0.500
0.750 0.750 0.750
```

Results
Crystal system: cubic

Version c
Compound: KTcAs
Source: Alexandria
Functional: GGA-PBE
Structure: relaxed

Structure (POSCAR):
```
KTcAs
1.0
-2.364 -3.176 0.257
1.872 -1.125 3.312
-7.154 5.813 6.020
Tc K As
2 2 2
Direct
0.500 0.500 0.000
0.000 0.000 0.000
0.000 0.500 0.299
0.500 0.000 0.701
0.000 0.500 0.859
0.500 0.000 0.141
```

Results
Crystal system: tetragonal

Version d
Compound: KTcAs
Source: Alexandria
Functional: GGA-PBE
Structure: relaxed

Structure (POSCAR):
```
KTcAs
1.0
5.004 0.000 0.000
-2.502 4.334 0.000
0.000 0.000 2.756
Tc As K
1 1 1
Direct
0.333 0.667 0.833
0.000 0.000 0.833
0.667 0.333 0.333
```

Results
Crystal system: hexagonal

Stability order, top to bottom: version c, version a, version d, version b

Version a
Compound: KTe2As2
Source: Alexandria
Functional: GGA-PBE
Structure: relaxed

Structure (POSCAR):
```
KTe2As2
1.0
8.952 0.000 0.000
0.000 8.952 0.000
0.000 0.000 3.855
Te K As
4 2 4
Direct
0.710 0.790 0.500
0.210 0.710 0.500
0.790 0.290 0.500
0.290 0.210 0.500
0.000 0.000 0.000
0.500 0.500 0.000
0.357 0.857 0.000
0.857 0.643 0.000
0.143 0.357 0.000
0.643 0.143 0.000
```

Results
Crystal system: tetragonal

Version b
Compound: KTe2As2
Source: Alexandria
Functional: GGA-PBE
Structure: relaxed

Structure (POSCAR):
```
KTe2As2
1.0
4.697 0.000 0.000
0.000 4.697 0.000
2.348 2.348 6.948
Te K As
2 1 2
Direct
0.750 0.250 0.500
0.250 0.750 0.500
0.000 0.000 0.000
0.418 0.418 0.164
0.582 0.582 0.836
```

Results
Crystal system: tetragonal

Stability order, top to bottom: version a, version b

Version a
Compound: KTe3As2
Source: Alexandria
Functional: GGA-PBE
Structure: relaxed

Structure (POSCAR):
```
KTe3As2
1.0
-2.442 5.264 -0.689
-7.663 3.368 5.544
1.577 4.682 9.079
K Te As
2 6 4
Direct
0.539 0.276 0.921
0.500 0.671 0.130
0.278 0.316 0.249
0.114 0.921 0.468
0.825 0.780 0.288
0.310 0.022 0.755
0.845 0.555 0.733
0.570 0.388 0.524
0.883 0.035 0.689
0.613 0.905 0.494
0.062 0.426 0.528
0.968 0.220 0.209
```

Results
Crystal system: triclinic

Version b
Compound: KTe3As2
Source: Alexandria
Functional: GGA-PBE
Structure: relaxed

Structure (POSCAR):
```
KTe3As2
1.0
-1.816 -2.467 -6.346
-2.974 -6.575 3.408
-7.181 3.405 0.731
K As Te
2 4 6
Direct
0.750 0.677 0.323
0.250 0.323 0.677
0.500 0.820 0.820
0.500 0.180 0.180
0.000 0.180 0.180
0.000 0.820 0.820
0.250 0.841 0.558
0.750 0.087 0.913
0.750 0.558 0.841
0.250 0.442 0.159
0.250 0.913 0.087
0.750 0.159 0.442
```

Results
Crystal system: orthorhombic

Stability order, top to bottom: version a, version b

Version a
Compound: K2TeAs2
Source: Alexandria
Functional: GGA-PBE
Structure: relaxed

Structure (POSCAR):
```
K2TeAs2
1.0
9.313 0.000 0.000
0.000 9.313 0.000
0.000 0.000 3.847
K As Te
4 4 2
Direct
0.792 0.292 0.500
0.708 0.792 0.500
0.208 0.708 0.500
0.292 0.208 0.500
0.584 0.084 0.000
0.916 0.584 0.000
0.416 0.916 0.000
0.084 0.416 0.000
0.000 0.000 0.000
0.500 0.500 0.000
```

Results
Crystal system: tetragonal

Version b
Compound: K2TeAs2
Source: Alexandria
Functional: GGA-PBE
Structure: relaxed

Structure (POSCAR):
```
K2TeAs2
1.0
6.687 0.000 0.000
0.000 6.687 0.000
3.344 3.344 4.003
Te As K
1 2 2
Direct
0.000 0.000 0.000
0.647 0.647 0.706
0.353 0.353 0.294
0.750 0.250 0.500
0.250 0.750 0.500
```

Results
Crystal system: tetragonal

Stability order, top to bottom: version a, version b

Version a
Compound: K3Te4As
Source: Alexandria
Functional: GGA-PBE
Structure: relaxed

Structure (POSCAR):
```
K3Te4As
1.0
-4.906 -1.009 4.928
5.052 -0.755 4.874
-0.329 13.416 2.419
As Te K
2 8 6
Direct
0.462 0.860 0.500
0.962 0.140 0.000
0.096 0.807 0.500
0.596 0.193 0.000
0.019 0.777 0.000
0.105 0.283 0.161
0.105 0.283 0.839
0.519 0.223 0.500
0.605 0.717 0.661
0.605 0.717 0.339
0.520 0.689 0.000
0.604 0.215 0.749
0.104 0.785 0.249
0.020 0.311 0.500
0.104 0.785 0.751
0.604 0.215 0.251
```

Results
Crystal system: orthorhombic

Version b
Compound: K3Te4As
Source: Alexandria
Functional: GGA-PBE
Structure: relaxed

Structure (POSCAR):
```
K3Te4As
1.0
10.099 0.000 0.000
0.000 10.991 0.000
0.000 0.000 11.846
Te K As
16 12 4
Direct
0.483 0.892 0.750
0.017 0.392 0.250
0.656 0.745 0.250
0.631 0.522 0.563
0.131 0.978 0.937
0.869 0.022 0.063
0.844 0.245 0.750
0.156 0.755 0.250
0.369 0.478 0.063
0.344 0.255 0.750
0.517 0.108 0.250
0.369 0.478 0.437
0.131 0.978 0.563
0.869 0.022 0.437
0.631 0.522 0.937
0.983 0.608 0.750
0.916 0.690 0.047
0.084 0.310 0.953
0.648 0.415 0.250
0.352 0.585 0.750
0.916 0.690 0.453
0.584 0.190 0.953
0.084 0.310 0.547
0.584 0.190 0.547
0.148 0.085 0.250
0.416 0.810 0.453
0.416 0.810 0.047
0.852 0.915 0.750
0.770 0.471 0.750
0.230 0.529 0.250
0.730 0.971 0.250
0.270 0.029 0.750
```

Results
Crystal system: orthorhombic

Stability order, top to bottom: version b, version a

Version a
Compound: KTe4As2
Source: Alexandria
Functional: GGA-PBE
Structure: relaxed

Structure (POSCAR):
```
KTe4As2
1.0
10.983 -2.525 -2.854
-6.666 8.958 -3.231
-0.143 -0.536 7.305
As K Te
4 2 8
Direct
0.625 0.961 0.300
0.192 0.460 0.835
0.625 0.357 0.165
0.661 0.325 0.700
0.925 0.925 0.000
0.271 0.772 0.500
0.423 0.379 0.238
0.806 0.235 0.826
0.883 0.578 0.641
0.465 0.687 0.802
0.938 0.242 0.359
0.141 0.185 0.762
0.885 0.663 0.198
0.409 0.980 0.174
```

Results
Crystal system: monoclinic

Version b
Compound: KTe4As2
Source: Alexandria
Functional: GGA-PBE
Structure: relaxed

Structure (POSCAR):
```
KTe4As2
1.0
-3.415 -0.262 -2.191
0.515 -5.751 3.659
-8.575 7.190 12.508
K Te As
2 8 4
Direct
0.410 0.820 0.250
0.590 0.180 0.750
0.500 0.000 0.500
0.799 0.597 0.091
0.500 0.000 0.000
0.870 0.740 0.750
0.130 0.260 0.250
0.201 0.403 0.909
0.201 0.403 0.591
0.799 0.597 0.409
0.849 0.699 0.571
0.849 0.699 0.929
0.151 0.301 0.071
0.151 0.301 0.429
```

Results
Crystal system: orthorhombic

Stability order, top to bottom: version a, version b

Version a
Compound: K2TlAs
Source: Alexandria
Functional: GGA-PBE
Structure: relaxed

Structure (POSCAR):
```
K2TlAs
1.0
-1.130 -4.568 -3.118
3.004 -4.724 0.722
-2.387 -4.525 2.385
Tl As K
1 1 2
Direct
0.750 0.750 0.750
0.500 0.500 0.500
0.250 0.250 0.250
0.000 0.000 0.000
```

Results
Crystal system: cubic

Version b
Compound: K2TlAs
Source: Alexandria
Functional: GGA-PBE
Structure: relaxed

Structure (POSCAR):
```
K2TlAs
1.0
6.743 -0.009 -0.008
5.389 4.054 -0.008
2.421 0.807 5.098
K Tl As
2 1 1
Direct
0.044 0.044 0.956
0.230 0.230 0.270
0.443 0.443 0.557
0.783 0.783 0.717
```

Results
Crystal system: orthorhombic

Stability order, top to bottom: version b, version a

Version a
Compound: K2TlAs
Source: Alexandria
Functional: GGA-PBE
Structure: relaxed

Structure (POSCAR):
```
K2TlAs
1.0
-2.307 0.310 4.493
1.690 -4.620 1.186
9.059 2.426 7.335
Tl K As
2 4 2
Direct
0.000 0.000 0.000
0.750 0.250 0.500
0.602 0.125 0.250
0.875 0.852 0.750
0.375 0.398 0.750
0.148 0.625 0.250
0.250 0.750 0.500
0.500 0.500 0.000
```

Results
Crystal system: tetragonal

Version b
Compound: K2TlAs
Source: Alexandria
Functional: GGA-PBE
Structure: relaxed

Structure (POSCAR):
```
K2TlAs
1.0
4.413 0.000 0.000
0.000 5.264 0.002
0.000 2.646 6.395
As K Tl
1 2 1
Direct
0.500 0.553 0.774
0.000 0.982 0.910
0.500 0.279 0.315
0.000 0.686 0.501
```

Results
Crystal system: monoclinic

Stability order, top to bottom: version b, version a

Version a
Compound: K2TlAs
Source: Alexandria
Functional: GGA-PBE
Structure: relaxed

Structure (POSCAR):
```
K2TlAs
1.0
8.922 0.138 0.450
-3.557 4.277 0.450
1.809 1.119 3.663
Tl As K
1 1 2
Direct
0.000 0.500 0.500
0.500 0.500 0.000
0.500 0.000 0.500
0.000 0.000 0.000
```

Results
Crystal system: orthorhombic

Version b
Compound: K2TlAs
Source: Alexandria
Functional: GGA-PBE
Structure: relaxed

Structure (POSCAR):
```
K2TlAs
1.0
3.455 0.000 0.000
0.000 3.455 0.000
0.000 0.000 11.002
As Tl K
1 1 2
Direct
0.500 0.500 0.750
0.500 0.500 0.250
0.000 0.000 0.957
0.000 0.000 0.543
```

Results
Crystal system: tetragonal

Version c
Compound: K2TlAs
Source: Alexandria
Functional: GGA-PBE
Structure: relaxed

Structure (POSCAR):
```
K2TlAs
1.0
-0.520 -5.502 -1.328
-5.000 -2.033 -1.782
-0.661 -1.564 -5.425
K As Tl
2 1 1
Direct
0.250 0.250 0.250
0.750 0.750 0.750
0.000 0.000 0.000
0.500 0.500 0.500
```

Results
Crystal system: cubic

Stability order, top to bottom: version c, version a, version b

Version a
Compound: KTl2As
Source: Alexandria
Functional: GGA-PBE
Structure: relaxed

Structure (POSCAR):
```
KTl2As
1.0
5.289 -0.043 0.030
3.526 3.943 0.030
1.661 0.735 6.682
As K Tl
1 1 2
Direct
0.494 0.494 0.413
0.771 0.771 0.721
0.237 0.237 0.283
0.998 0.998 0.084
```

Results
Crystal system: monoclinic

Version b
Compound: KTl2As
Source: Alexandria
Functional: GGA-PBE
Structure: relaxed

Structure (POSCAR):
```
KTl2As
1.0
6.403 0.009 0.000
-3.110 5.597 0.000
0.000 0.000 3.313
Tl K As
2 1 1
Direct
0.500 0.500 0.000
0.000 0.000 0.000
0.000 0.500 0.500
0.500 0.000 0.500
```

Results
Crystal system: orthorhombic

Stability order, top to bottom: version a, version b